1.
An optimized crystal structure of KSiAg3. Source: Alexandria via LeMat-Bulk, functional GGA-PBE.

a b c (Å): 4.980 4.980 4.980
angles (deg): 90.00 90.00 90.00
Space group Pm-3m (No. 221)
One atom of each set of equivalent atoms:
K (0.000, 0.000, 0.000) x1
Si (0.500, 0.500, 0.500) x1
Ag (0.000, 0.500, 0.500) x3

Properties
As for the polymorph energy (0 for the lowest one): 0.0 meV/atom. Its raw formation energy is 3.8 kJ per mole of atoms.

---

2.
An optimized crystal structure of KSiAg2. Source: Alexandria via LeMat-Bulk, functional GGA-PBE.

a b c (Å): 2.964 4.091 7.662
angles (deg): 90.00 90.00 90.00
Space group Pmm2 (No. 25)
One atom of each set of equivalent atoms:
K (0.000, 0.000, 0.000) x1
Si (0.500, 0.500, 0.319) x1
Ag (0.000, 0.000, 0.456) x1
Ag (0.500, 0.500, 0.663) x1

Properties
Its raw formation energy is 22.4 kJ per mole of atoms.

---

3.
An optimized crystal structure of KSiAg2. Source: Alexandria via LeMat-Bulk, functional GGA-PBE.

a b c (Å): 3.165 4.579 6.867
angles (deg): 90.00 103.22 90.00
Space group Pm (No. 6)
One atom of each set of equivalent atoms:
K (0.000, 0.000, 0.000) x1
Si (0.655, 0.500, 0.310) x1
Ag (0.312, 0.500, 0.625) x1
Ag (0.742, 0.000, 0.482) x1

Properties
Its raw formation energy is 18.8 kJ per mole of atoms.